# 1
Compound: TmU2C
Source: the Alexandria database
Functional: PBE
Structure: optimized geometry

Summary:
formation energy from the elements = 0.1415 eV per atom
theoretical density = 13.48 Mg/m³
total energy = -107.1 eV per cell

a b c (Å): 3.2507 3.2507 26.5388
angles (deg): 90.00 90.00 120.00
Closest atoms and distances in Å follow each position.
Space group R-3m (No. 166, hexagonal axes)
Inequivalent atoms, fractional coordinates:
Tm 0.0000 0.0000 0.0000 x3  6 Tm 3.25, 6 U 3.50
U 0.0000 0.0000 0.2220 x6  3 C 2.38
C 0.0000 0.0000 0.5000 x3  6 U 2.38

# 2
Compound: KWN3
Source: the Alexandria database
Functional: PBE
Structure: optimized geometry

Summary:
energy relative to the elements, uncorrected = 0.885 eV/f.u.
theoretical density = 6.74 Mg/m³
total energy = -38.1 eV per cell

a b c (Å): 4.0270 4.0270 4.0270
angles (deg): 90.00 90.00 90.00
Closest atoms and distances in Å follow each position.
Space group Pm-3m (No. 221)
Inequivalent atoms, fractional coordinates:
K 0.0000 0.0000 0.0000 x1  12 N 2.85
W 0.5000 0.5000 0.5000 x1  6 N 2.01
N 0.0000 0.5000 0.5000 x3  2 W 2.01

# 3
Compound: Fe2TeP
Source: the Alexandria database
Functional: PBE
Structure: optimized geometry

Summary:
energy relative to the elements, uncorrected = 1.293 eV/f.u.
theoretical density = 7.92 Mg/m³
E above lowest polymorph = 0.415 eV per atom
total energy = -96.7 eV per cell

a b c (Å): 6.0981 6.0981 6.0981
angles (deg): 90.00 90.00 90.00
Closest atoms and distances in Å follow each position.
Space group Fm-3m (No. 225)
Inequivalent atoms, fractional coordinates:
Fe 0.2500 0.2500 0.2500 x8  4 Te 2.64, 4 P 2.64
Te 0.0000 0.0000 0.0000 x4  8 Fe 2.64
P 0.0000 0.0000 0.5000 x4  8 Fe 2.64

# 4
Compound: YTcPO2
Source: the Alexandria database
Functional: PBE
Structure: optimized geometry

Summary:
energy relative to the elements, uncorrected = -6.419 eV/f.u.
theoretical density = 5.31 Mg/m³
E above lowest polymorph = 0.000 eV per atom
total energy = -38.6 eV per cell

a b c (Å): 3.8778 3.8778 5.2010
angles (deg): 90.00 90.00 90.00
Closest atoms and distances in Å follow each position.
Space group P4/mmm (No. 123)
Inequivalent atoms, fractional coordinates:
Y 0.0000 0.0000 0.0000 x1  4 P 2.74
Tc 0.5000 0.5000 0.5000 x1  4 O 1.94
P 0.5000 0.5000 0.0000 x1  2 Tc 2.60, 4 Y 2.74
O 0.0000 0.5000 0.5000 x2  2 Tc 1.94

# 5
Compound: La4Tb3ErS8
Source: the Alexandria database
Functional: PBE
Structure: optimized geometry

Summary:
energy relative to the elements, uncorrected = -33.366 eV/f.u.
theoretical density = 6.51 Mg/m³
total energy = -313.6 eV per cell

a b c (Å): 8.0129 8.0129 20.0287
angles (deg): 90.00 90.00 120.00
Closest atoms and distances in Å follow each position.
Space group R-3m (No. 166, hexagonal axes)
Inequivalent atoms, fractional coordinates:
La 0.0000 0.0000 0.0000 x3  6 S 2.95
La 0.0000 0.5000 0.0000 x9  6 S 2.93
Tb 0.0000 0.5000 0.5000 x9  6 S 2.78
Er 0.0000 0.0000 0.5000 x3  6 S 2.76
S 0.0000 0.0000 0.2437 x6  3 Tb 2.78, 3 La 2.93
S 0.0031 0.5015 0.2430 x18  1 Er 2.76, 2 Tb 2.78, 3 La 2.93-2.95

# 6
Compound: Sr5Au2N
Source: the Alexandria database
Functional: PBE
Structure: optimized geometry

Summary:
energy relative to the elements, uncorrected = -4.215 eV/f.u.
theoretical density = 5.05 Mg/m³
total energy = -110.0 eV per cell

a b c (Å): 5.2676 13.6619 15.4498
angles (deg): 90.00 90.00 90.00
Closest atoms and distances in Å follow each position.
Space group Fmmm (No. 69)
Inequivalent atoms, fractional coordinates:
Sr 0.0000 0.0000 0.0000 x4  2 N 2.63
Sr 0.0000 0.1296 0.3752 x16  1 N 2.62
Au 0.0000 0.0000 0.2032 x8  2 Au 3.00, 3 Sr 3.14-3.19
N 0.0000 0.0000 0.5000 x4  6 Sr 2.62-2.63

# 7
Compound: BiAu3Cl
Source: the Alexandria database
Functional: PBE
Structure: optimized geometry

Summary:
energy relative to the elements, uncorrected = 2.879 eV/f.u.
theoretical density = 8.87 Mg/m³
E above lowest polymorph = 0.000 eV per atom
total energy = -12.7 eV per cell

a b c (Å): 5.3886 5.3886 5.3886
angles (deg): 90.00 90.00 90.00
Closest atoms and distances in Å follow each position.
Space group Pm-3m (No. 221)
Inequivalent atoms, fractional coordinates:
Bi 0.0000 0.0000 0.0000 x1  6 Au 2.69
Au 0.0000 0.0000 0.5000 x3  2 Bi 2.69
Cl 0.5000 0.5000 0.5000 x1  12 Au 3.81

# 8
Compound: Nb4GeTe5
Source: the Alexandria database
Functional: PBE
Structure: optimized geometry

Summary:
energy relative to the elements, uncorrected = -3.011 eV/f.u.
theoretical density = 7.16 Mg/m³
total energy = -127.2 eV per cell

a b c (Å): 17.3042 3.7128 8.0137
angles (deg): 90.00 102.82 90.00
Closest atoms and distances in Å follow each position.
Space group C2/m (No. 12)
Inequivalent atoms, fractional coordinates:
Nb 0.0014 0.0000 0.2847 x4  2 Ge 2.54, 1 Te 2.81
Nb 0.1467 0.5000 0.5781 x4  1 Ge 2.48
Ge 0.0000 0.5000 0.5000 x2  6 Nb 2.48-2.54
Te 0.0000 0.5000 0.0000 x2  4 Nb 2.94
Te 0.1631 0.0000 0.8478 x4  3 Nb 2.81-2.82
Te 0.1749 0.0000 0.3298 x4  4 Nb 2.84-3.01